InAgBr4 | GGA-PBE | relaxed

Energy above the most stable polymorph in this dataset, meV/atom: 0
Formation energy from raw total energies, eV/atom: -0.6603

Cell: 6.409 6.409 11.365 Å, 90.00 90.00 90.00°
Space group P-42c (No. 112)
Inequivalent atoms, fractional coordinates:
In 0.000 0.500 0.250
Ag 0.000 0.000 0.000
Br 0.241 0.274 0.377